Si2Sb (GGA-PBE, optimized geometry); excess energy over the best structure of this formula in the dataset = 24.84 kJ per mole of atoms; total energy = -4.463 eV per atom; calculated volume = 22.258 Å³ per atom; crystal system = hexagonal; space-group type = No. 194
1.0
-3.106 -0.009 4.564
0.681 -4.658 -2.885
8.160 -2.243 5.547
Si Sb
8 4
Direct
0.856 0.144 0.250
0.000 0.000 0.500
0.289 0.144 0.250
0.000 0.000 0.000
0.144 0.856 0.750
0.144 0.289 0.750
0.856 0.711 0.250
0.711 0.856 0.750
0.667 0.333 0.042
0.333 0.667 0.542
0.667 0.333 0.458
0.333 0.667 0.958

=====

SiSb3 (GGA-PBE, optimized geometry); excess energy over the best structure of this formula in the dataset = 23.46 kJ per mole of atoms; total energy = -4.028 eV per atom; calculated volume = 26.475 Å³ per atom; crystal system = tetragonal; space-group type = No. 139
1.0
-2.324 2.324 9.802
2.324 -2.324 9.802
2.324 2.324 -9.802
Sb Si
6 2
Direct
0.889 0.889 0.000
0.000 0.500 0.500
0.250 0.750 0.500
0.750 0.250 0.500
0.111 0.111 0.000
0.500 0.000 0.500
0.665 0.665 0.000
0.335 0.335 0.000

=====

Summary of magnetic moment in μB per formula unit
0.0, 0.0
(order as listed above)
Summary of ΔE_f (raw) in eV per atom
0.53, 0.42
(order as listed above)